# 1
DFT (PBE-GGA) results for NdDy3Ag4 after structural relaxation.

Its density is 8.9 g cm⁻³. The value obtained for the energy of formation is -6.9 kcal/mol of atoms. The raw total energy comes out at -4.05 eV per atom.

It has space group Pmmm (No. 47), with a = 3.634 Å, b = 5.211 Å, c = 10.420 Å, α = 90.00°, β = 90.00° and γ = 90.00°. The inequivalent atoms are Nd at (0.000, 0.000, 0.000), Dy at (0.000, 0.000, 0.500), Dy at (0.000, 0.500, 0.252), Ag at (0.500, 0.000, 0.259), Ag at (0.500, 0.500, 0.000) and Ag at (0.500, 0.500, 0.500).

# 2
DFT (PBE-GGA) results for NdDyAg4 after structural relaxation.

Its density is 9.1 g cm⁻³. The value obtained for the energy of formation is -3.7 kcal/mol of atoms. The raw total energy comes out at -3.62 eV per atom.

It has space group F-43m (No. 216), with a = 8.132 Å, b = 8.132 Å, c = 8.132 Å, α = 90.00°, β = 90.00° and γ = 90.00°. The inequivalent atoms are Nd at (0.000, 0.000, 0.000), Dy at (0.250, 0.250, 0.250) and Ag at (0.125, 0.125, 0.625).

# 3
DFT (PBE-GGA) results for NdDyAg3 after structural relaxation.

Its density is 8.8 g cm⁻³. The value obtained for the energy of formation is -5.2 kcal/mol of atoms. The raw total energy comes out at -3.81 eV per atom.

It has space group P2_1/m (No. 11), with a = 5.592 Å, b = 4.981 Å, c = 8.738 Å, α = 90.00°, β = 101.90° and γ = 90.00°. The inequivalent atoms are Nd at (0.054, 0.250, 0.374), Dy at (0.251, 0.750, 0.054), Ag at (0.209, 0.250, 0.801), Ag at (0.411, 0.750, 0.413) and Ag at (0.495, 0.750, 0.772).

# 4
DFT (PBE-GGA) results for NdDyAg2 after structural relaxation.

Its density is 8.6 g cm⁻³. The value obtained for the energy of formation is -6.8 kcal/mol of atoms. The raw total energy comes out at -4.06 eV per atom.

It has space group P4/mmm (No. 123), with a = 3.661 Å, b = 3.661 Å, c = 7.524 Å, α = 90.00°, β = 90.00° and γ = 90.00°. The inequivalent atoms are Nd at (0.000, 0.000, 0.000), Dy at (0.000, 0.000, 0.500) and Ag at (0.500, 0.500, 0.269).